# 1
Entry from the Alexandria database: a relaxed structure of ErZrOs4 (PBE).

Density of states at the Fermi level: 5.6 states/eV/f.u.
Crystal system: cubic
Formation energy from the elements: -309 meV/atom

Cell: 7.4819 7.4819 7.4819 Å, 90.00 90.00 90.00°
Closest atoms and distances in Å follow each position.
Space group F-43m (No. 216)
Asymmetric unit:
Er 0.0000 0.0000 0.0000 (multiplicity 4)  12 Os 3.10, 4 Zr 3.24
Zr 0.2500 0.2500 0.7500 (multiplicity 4)  12 Os 3.10, 4 Er 3.24
Os 0.1249 0.1249 0.3751 (multiplicity 16)  6 Os 2.64-2.65


# 2
Entry from the Alexandria database: a relaxed structure of MgSiN2 (PBE).

Total DFT energy (no corrections): -111.30 eV/cell
Density of states at the Fermi level: 0.0 states/eV/f.u.
Crystal system: monoclinic

Cell: 10.2030 3.0401 5.6732 Å, 90.00 98.29 90.00°
Closest atoms and distances in Å follow each position.
Space group Cm (No. 8)
Asymmetric unit:
Mg 0.0000 0.0000 0.0000 (multiplicity 2)  4 N 2.00-2.17
Mg 0.2455 0.0000 0.7415 (multiplicity 2)  4 N 2.04-2.12
Si 0.2471 0.5000 0.2609 (multiplicity 2)  4 N 1.75-1.81
Si 0.4936 0.0000 0.5059 (multiplicity 2)  4 N 1.68-1.87
N 0.1650 0.5000 0.5112 (multiplicity 2)  2 Si 1.74-1.75
N 0.2084 0.0000 0.1006 (multiplicity 2)  2 Si 1.79
N 0.4253 0.5000 0.3401 (multiplicity 2)  3 Si 1.81-1.87
N 0.4469 0.0000 0.7778 (multiplicity 2)  1 Si 1.68


# 3
Entry from the Alexandria database: a relaxed structure of Na3MnCr3S8 (PBE).

Total DFT energy (no corrections): -264.39 eV/cell
Crystal system: trigonal

Cell: 7.0612 7.0612 19.8137 Å, 90.00 90.00 120.00°
Closest atoms and distances in Å follow each position.
Space group R-3m (No. 166, hexagonal axes)
Asymmetric unit:
Na 0.0000 0.5000 0.0000 (multiplicity 9)  6 S 2.85-2.87
Mn 0.0000 0.0000 0.5000 (multiplicity 3)  6 S 2.39
Cr 0.0000 0.5000 0.5000 (multiplicity 9)  6 S 2.42
S 0.0000 0.0000 0.2325 (multiplicity 6)  3 Cr 2.42
S 0.0038 0.5019 0.2311 (multiplicity 18)  1 Mn 2.39, 2 Cr 2.42


# 4
Entry from the Alexandria database: a relaxed structure of CeH3 (PBE).

E above lowest polymorph: 150 meV/atom
Density of states at the Fermi level: 6.6 states/eV/f.u.
Crystal system: cubic

Cell: 3.4011 3.4011 3.4011 Å, 90.00 90.00 90.00°
Closest atoms and distances in Å follow each position.
Space group Pm-3m (No. 221)
Asymmetric unit:
Ce 0.0000 0.0000 0.0000 (multiplicity 1)  12 H 2.40
H 0.0000 0.5000 0.5000 (multiplicity 3)  8 H 2.40, 4 Ce 2.40


# 5
Entry from the Alexandria database: a relaxed structure of LiScPaRu (PBE).

Density of states at the Fermi level: 4.8 states/eV/f.u.
Crystal system: cubic
Formation energy from the elements: -133 meV/atom

Cell: 6.7399 6.7399 6.7399 Å, 90.00 90.00 90.00°
Closest atoms and distances in Å follow each position.
Space group F-43m (No. 216)
Asymmetric unit:
Li 0.0000 0.0000 0.0000 (multiplicity 4)  4 Pa 2.92, 4 Sc 2.92
Sc 0.2500 0.2500 0.2500 (multiplicity 4)  4 Li 2.92, 4 Ru 2.92
Pa 0.2500 0.2500 0.7500 (multiplicity 4)  4 Ru 2.92, 4 Li 2.92
Ru 0.0000 0.0000 0.5000 (multiplicity 4)  4 Sc 2.92, 4 Pa 2.92


# 6
Entry from the Alexandria database: a relaxed structure of CeNbAs2 (PBE).

E above lowest polymorph: 168 meV/atom
Density of states at the Fermi level: 5.3 states/eV/f.u.
Crystal system: tetragonal
Formation energy from the elements: -707 meV/atom

Cell: 3.3683 3.3683 6.9710 Å, 90.00 90.00 90.00°
Closest atoms and distances in Å follow each position.
Space group P4/mmm (No. 123)
Asymmetric unit:
Ce 0.0000 0.0000 0.0000 (multiplicity 1)  8 As 3.11, 4 Ce 3.37
Nb 0.0000 0.0000 0.5000 (multiplicity 1)  8 As 2.81
As 0.5000 0.5000 0.2864 (multiplicity 2)  4 Nb 2.81, 1 As 2.98, 4 Ce 3.11


# 7
Entry from the Alexandria database: a relaxed structure of Cs3Y2SnTe6 (PBE).

Total DFT energy (no corrections): -103.14 eV/cell
Density of states at the Fermi level: 4.1 states/eV/f.u.
Crystal system: monoclinic

Cell: 7.9306 13.7405 9.2816 Å, 90.00 106.55 90.00°
Closest atoms and distances in Å follow each position.
Space group C2/m (No. 12)
Asymmetric unit:
Cs 0.0000 0.0000 0.0000 (multiplicity 2)  6 Te 3.83-3.84
Cs 0.0000 0.3332 0.0000 (multiplicity 4)  6 Te 3.83-3.84
Y 0.0000 0.1667 0.5000 (multiplicity 4)  6 Te 3.12-3.13
Sn 0.0000 0.5000 0.5000 (multiplicity 2)  6 Te 3.13
Te 0.2285 0.0000 0.6881 (multiplicity 4)  2 Y 3.13, 1 Sn 3.13
Te 0.2298 0.3329 0.6879 (multiplicity 8)  2 Y 3.12-3.13, 1 Sn 3.13


# 8
Entry from the Alexandria database: a relaxed structure of Tb2Sm4DyMg (PBE).

Density of states at the Fermi level: 11.0 states/eV/f.u.
Crystal system: tetragonal
Formation energy from the elements: 12 meV/atom

Cell: 5.0273 5.0273 10.0272 Å, 90.00 90.00 90.00°
Closest atoms and distances in Å follow each position.
Space group P4/mmm (No. 123)
Asymmetric unit:
Tb 0.0000 0.0000 0.0000 (multiplicity 1)  8 Sm 3.53, 4 Mg 3.55
Tb 0.5000 0.5000 0.5000 (multiplicity 1)  4 Dy 3.55, 8 Sm 3.57
Sm 0.0000 0.5000 0.2469 (multiplicity 4)  2 Mg 3.53, 4 Tb 3.53-3.57, 4 Sm 3.55, 2 Dy 3.57
Dy 0.0000 0.0000 0.5000 (multiplicity 1)  4 Tb 3.55, 8 Sm 3.57
Mg 0.5000 0.5000 0.0000 (multiplicity 1)  8 Sm 3.53, 4 Tb 3.55


# 9
Entry from the Alexandria database: a relaxed structure of Ho3PbS2 (PBE).

Total DFT energy (no corrections): -132.92 eV/cell
Density of states at the Fermi level: 2.8 states/eV/f.u.
Crystal system: orthorhombic

Cell: 4.4571 13.6265 10.0144 Å, 90.00 90.00 90.00°
Closest atoms and distances in Å follow each position.
Space group Cmcm (No. 63)
Asymmetric unit:
Ho 0.0000 0.0863 0.2500 (multiplicity 4)  4 S 2.59-2.77
Ho 0.0000 0.3597 0.0573 (multiplicity 8)  1 S 2.61
Pb 0.0000 0.2441 0.7500 (multiplicity 4)  8 Ho 3.21-3.46
S 0.0000 0.0000 0.0000 (multiplicity 4)  6 Ho 2.77-2.99
S 0.0000 0.4888 0.2500 (multiplicity 4)  4 Ho 2.59-2.61


# 10
Entry from the Alexandria database: a relaxed structure of Rb4Ce3PaSe8 (PBE).

Total DFT energy (no corrections): -252.51 eV/cell
Density of states at the Fermi level: 28.1 states/eV/f.u.
Crystal system: trigonal

Cell: 8.7252 8.7252 24.0951 Å, 90.00 90.00 120.00°
Closest atoms and distances in Å follow each position.
Space group R-3m (No. 166, hexagonal axes)
Asymmetric unit:
Rb 0.0000 0.0000 0.0000 (multiplicity 3)  6 Se 3.54
Rb 0.0000 0.5000 0.0000 (multiplicity 9)  6 Se 3.46-3.47
Ce 0.0000 0.5000 0.5000 (multiplicity 9)  6 Se 3.00-3.02
Pa 0.0000 0.0000 0.5000 (multiplicity 3)  6 Se 2.93
Se 0.0000 0.0000 0.2340 (multiplicity 6)  3 Ce 3.00
Se 0.0095 0.5048 0.2332 (multiplicity 18)  1 Pa 2.93, 2 Ce 3.02


# 11
Entry from the Alexandria database: a relaxed structure of YNiTe2 (PBE).

Total DFT energy (no corrections): -85.28 eV/cell
Density of states at the Fermi level: 1.0 states/eV/f.u.
Crystal system: tetragonal

Cell: 7.4975 7.4975 6.9773 Å, 90.00 90.00 90.00°
Closest atoms and distances in Å follow each position.
Space group I-42d (No. 122)
Asymmetric unit:
Y 0.0000 0.0000 0.0000 (multiplicity 4)  8 Te 3.16-3.49, 2 Ni 3.49
Ni 0.0000 0.0000 0.5000 (multiplicity 4)  4 Te 2.47
Te 0.1804 0.2500 0.6250 (multiplicity 8)  2 Ni 2.47


# 12
Entry from the Alexandria database: a relaxed structure of Pm6ZrO12 (PBE).

Total DFT energy (no corrections): -471.53 eV/cell
Density of states at the Fermi level: 11.0 states/eV/f.u.
Crystal system: trigonal

Cell: 10.2327 10.2327 9.6632 Å, 90.00 90.00 120.00°
Closest atoms and distances in Å follow each position.
Space group R-3 (No. 148, hexagonal axes)
Asymmetric unit:
Pm 0.0546 0.7910 0.1541 (multiplicity 18)  7 O 2.33-2.56
Zr 0.0000 0.0000 0.5000 (multiplicity 3)  6 O 2.14
O 0.0413 0.8174 0.9014 (multiplicity 18)  4 Pm 2.33-2.47
O 0.0407 0.8404 0.3926 (multiplicity 18)  1 Zr 2.14, 2 Pm 2.38-2.39


# 13
Entry from the Alexandria database: a relaxed structure of Mn3TeN (PBE).

E above lowest polymorph: 0 meV/atom
Density of states at the Fermi level: 4.1 states/eV/f.u.
Crystal system: cubic

Cell: 3.9993 3.9993 3.9993 Å, 90.00 90.00 90.00°
Closest atoms and distances in Å follow each position.
Space group Pm-3m (No. 221)
Asymmetric unit:
Mn 0.0000 0.0000 0.5000 (multiplicity 3)  2 N 2.00
Te 0.5000 0.5000 0.5000 (multiplicity 1)  12 Mn 2.83
N 0.0000 0.0000 0.0000 (multiplicity 1)  6 Mn 2.00


# 14
Entry from the Alexandria database: a relaxed structure of Ce2CrTcN5 (PBE).

Total DFT energy (no corrections): -326.78 eV/cell
Density of states at the Fermi level: 3.7 states/eV/f.u.
Crystal system: orthorhombic

Cell: 3.3773 13.5947 9.4984 Å, 90.00 90.00 90.00°
Closest atoms and distances in Å follow each position.
Space group Cmc2_1 (No. 36)
Asymmetric unit:
Ce 0.0000 0.1290 0.0000 (multiplicity 4)  7 N 2.34-2.60
Ce 0.0000 0.1344 0.6242 (multiplicity 4)  7 N 2.41-2.56
Cr 0.0000 0.4381 0.7737 (multiplicity 4)  3 N 1.72-1.90
Tc 0.0000 0.1985 0.3226 (multiplicity 4)  6 N 2.03-2.19
N 0.0000 0.0425 0.3602 (multiplicity 4)  2 Cr 1.90
N 0.0000 0.3001 0.9696 (multiplicity 4)  2 Tc 2.19, 3 Ce 2.34-2.41
N 0.0000 0.3100 0.6850 (multiplicity 4)  1 Cr 1.93, 2 Tc 2.14
N 0.0000 0.3480 0.3197 (multiplicity 4)  1 Tc 2.03
N 0.0000 0.4936 0.6115 (multiplicity 4)  1 Cr 1.72


# 15
Entry from the Alexandria database: a relaxed structure of Sm2PtBr2 (PBE).

Total DFT energy (no corrections): -52.56 eV/cell
Density of states at the Fermi level: 1.7 states/eV/f.u.
Crystal system: monoclinic

Cell: 7.0858 4.0911 11.7672 Å, 90.00 102.76 90.00°
Closest atoms and distances in Å follow each position.
Space group C2/m (No. 12)
Asymmetric unit:
Sm 0.2200 0.0000 0.1457 (multiplicity 4)  3 Pt 2.89, 3 Br 3.05-3.06
Pt 0.0000 0.5000 0.0000 (multiplicity 2)  6 Sm 2.89
Br 0.0513 0.0000 0.6854 (multiplicity 4)  3 Sm 3.05-3.06


# 16
Entry from the Alexandria database: a relaxed structure of Ca6PbAu3 (PBE).

Density of states at the Fermi level: 3.6 states/eV/f.u.
Crystal system: monoclinic
Formation energy from the elements: -607 meV/atom

Cell: 11.0105 4.8246 12.5942 Å, 90.00 113.81 90.00°
Closest atoms and distances in Å follow each position.
Space group P2_1/m (No. 11)
Asymmetric unit:
Ca 0.0424 0.2500 0.4191 (multiplicity 2)  4 Au 3.01-3.06
Ca 0.1339 0.2500 0.9952 (multiplicity 2)  4 Au 3.05-3.14
Ca 0.1860 0.7500 0.2817 (multiplicity 2)  3 Au 3.16-3.18, 2 Pb 3.35
Ca 0.2901 0.7500 0.8105 (multiplicity 2)  5 Au 3.15-3.29
Ca 0.4010 0.2500 0.5572 (multiplicity 2)  2 Au 3.13, 3 Pb 3.29-3.35
Ca 0.4104 0.7500 0.1302 (multiplicity 2)  3 Au 2.94-3.01, 2 Pb 3.18
Pb 0.4011 0.2500 0.2911 (multiplicity 2)  7 Ca 3.18-3.35
Au 0.0115 0.7500 0.8354 (multiplicity 2)  7 Ca 3.01-3.21
Au 0.2135 0.7500 0.5410 (multiplicity 2)  7 Ca 3.06-3.16
Au 0.4063 0.2500 0.9863 (multiplicity 2)  6 Ca 2.94-3.17, 2 Au 3.10


# 17
Entry from the Alexandria database: a relaxed structure of SrIrPb4 (PBE).

Density of states at the Fermi level: 4.7 states/eV/f.u.
Crystal system: cubic
Formation energy from the elements: 439 meV/atom

Cell: 8.9712 8.9712 8.9712 Å, 90.00 90.00 90.00°
Closest atoms and distances in Å follow each position.
Space group F-43m (No. 216)
Asymmetric unit:
Sr 0.0000 0.0000 0.0000 (multiplicity 4)  12 Pb 3.72, 4 Ir 3.88
Ir 0.2500 0.2500 0.7500 (multiplicity 4)  12 Pb 3.72, 4 Sr 3.88
Pb 0.1241 0.1241 0.3759 (multiplicity 16)  6 Pb 3.15-3.19


# 18
Entry from the Alexandria database: a relaxed structure of Sr3Al2Tl4 (PBE).

Density of states at the Fermi level: 4.5 states/eV/f.u.
Crystal system: monoclinic
Formation energy from the elements: -261 meV/atom

Cell: 12.0650 5.0031 9.6118 Å, 90.00 109.55 90.00°
Closest atoms and distances in Å follow each position.
Space group C2/m (No. 12)
Asymmetric unit:
Sr 0.0000 0.0000 0.0000 (multiplicity 2)  4 Tl 3.38
Sr 0.1387 0.5000 0.6834 (multiplicity 4)  8 Tl 3.34-3.69, 4 Al 3.49-3.59
Al 0.1606 0.5000 0.3220 (multiplicity 4)  4 Tl 2.81-3.11
Tl 0.1001 0.0000 0.4213 (multiplicity 4)  3 Al 2.86-3.11
Tl 0.1979 0.5000 0.0485 (multiplicity 4)  1 Al 2.81, 2 Tl 3.08


# 19
Entry from the Alexandria database: a relaxed structure of CdRePb2O6 (PBE).

Total DFT energy (no corrections): -126.52 eV/cell
Density of states at the Fermi level: 3.7 states/eV/f.u.
Crystal system: monoclinic

Cell: 5.7905 5.9767 10.0751 Å, 90.00 124.51 90.00°
Closest atoms and distances in Å follow each position.
Space group P2_1/c (No. 14)
Asymmetric unit:
Cd 0.0000 0.0000 0.0000 (multiplicity 2)  6 O 2.34-2.38
Re 0.5000 0.0000 0.5000 (multiplicity 2)  6 O 1.94-1.96
Pb 0.2410 0.0400 0.7465 (multiplicity 4)  4 O 2.45-2.61
O 0.1848 0.1764 0.4614 (multiplicity 4)  1 Re 1.95
O 0.2787 0.7295 0.4503 (multiplicity 4)  1 Re 1.94
O 0.3629 0.0344 0.2734 (multiplicity 4)  1 Re 1.96


# 20
Entry from the Alexandria database: a relaxed structure of YTa2P (PBE).

Density of states at the Fermi level: 4.2 states/eV/f.u.
Crystal system: trigonal
Formation energy from the elements: -112 meV/atom

Cell: 3.4093 3.4093 24.5537 Å, 90.00 90.00 120.00°
Closest atoms and distances in Å follow each position.
Space group R-3m (No. 166, hexagonal axes)
Asymmetric unit:
Y 0.0000 0.0000 0.0000 (multiplicity 3)  6 Ta 3.29, 6 Y 3.41
Ta 0.0000 0.0000 0.2261 (multiplicity 6)  3 P 2.45
P 0.0000 0.0000 0.5000 (multiplicity 3)  6 Ta 2.45


# 21
Entry from the Alexandria database: a relaxed structure of Ti2AlMoC (PBE).

Density of states at the Fermi level: 4.6 states/eV/f.u.
Crystal system: tetragonal
Formation energy from the elements: -384 meV/atom

Cell: 4.2081 4.2081 4.1012 Å, 90.00 90.00 90.00°
Closest atoms and distances in Å follow each position.
Space group P4/mmm (No. 123)
Asymmetric unit:
Ti 0.0000 0.5000 0.0000 (multiplicity 2)  2 C 2.10
Al 0.0000 0.0000 0.5000 (multiplicity 1)  8 Ti 2.94, 4 Mo 2.98
Mo 0.5000 0.5000 0.5000 (multiplicity 1)  2 C 2.05
C 0.5000 0.5000 0.0000 (multiplicity 1)  2 Mo 2.05, 4 Ti 2.10


# 22
Entry from the Alexandria database: a relaxed structure of Pr2DyHo5Tm (PBE).

Density of states at the Fermi level: 12.0 states/eV/f.u.
Crystal system: tetragonal
Formation energy from the elements: 276 meV/atom

Cell: 8.5787 8.5787 15.8247 Å, 90.00 90.00 90.00°
Closest atoms and distances in Å follow each position.
Space group I4/mcm (No. 140)
Asymmetric unit:
Pr 0.1188 0.3812 0.0000 (multiplicity 8)  1 Pr 2.88, 2 Ho 3.02
Dy 0.0000 0.0000 0.2500 (multiplicity 4)  8 Ho 3.51
Ho 0.0000 0.0000 0.0000 (multiplicity 4)  4 Pr 3.43, 8 Ho 3.80
Ho 0.2145 0.2855 0.3581 (multiplicity 16)  1 Pr 3.02, 1 Tm 3.11
Tm 0.0000 0.5000 0.2500 (multiplicity 4)  4 Ho 3.11